No. 1
# SrCa2Br

SrCa2Br after structural relaxation (PBE-GGA, Alexandria).

a = 8.8362 Å, b = 8.8362 Å, c = 8.8362 Å
α = 90.00°, β = 90.00°, γ = 90.00°
Atoms (fractional coordinates):
Sr1 0.0000 0.0000 0.0000
Sr2 0.0000 0.5000 0.5000
Sr3 0.5000 0.0000 0.5000
Sr4 0.5000 0.5000 0.0000
Ca1 0.0000 0.0000 0.5000
Ca2 0.0000 0.5000 0.0000
Ca3 0.2500 0.2500 0.7500
Ca4 0.2500 0.7500 0.2500
Ca5 0.5000 0.0000 0.0000
Ca6 0.5000 0.5000 0.5000
Ca7 0.7500 0.2500 0.2500
Ca8 0.7500 0.7500 0.7500
Br1 0.2500 0.2500 0.2500
Br2 0.2500 0.7500 0.7500
Br3 0.7500 0.2500 0.7500
Br4 0.7500 0.7500 0.2500

Polymorph energy (0 for the lowest one) ... 429 meV per atom
Theoretical density ... 2.4 Mg/m³
Magnetization ... 0.00 μB per atom

No. 2
# Sr2CaBr

Sr2CaBr after structural relaxation (PBE-GGA, Alexandria).

a = 4.1000 Å, b = 7.2203 Å, c = 12.2110 Å
α = 90.00°, β = 90.00°, γ = 90.00°
Atoms (fractional coordinates):
Sr1 0.0000 0.0000 0.2016
Sr2 0.0000 0.0000 0.7984
Sr3 0.5000 0.5000 0.2984
Sr4 0.5000 0.5000 0.7016
Ca1 0.0000 0.5000 0.0000
Ca2 0.5000 0.0000 0.5000
Br1 0.0000 0.5000 0.5000
Br2 0.5000 0.0000 0.0000

Polymorph energy (0 for the lowest one) ... 119 meV per atom
Theoretical density ... 2.7 Mg/m³
Magnetization ... 0.00 μB per atom